CoSe2Cl at its PBEsol-relaxed geometry. Source: the Alexandria database, functional SCAN.

Results
ΔE to the lowest computed polymorph in kJ per mole of atoms: 0.00
Formation energy (no corrections) in eV/f.u.: -0.68
Calculated density in g/cm³: 5.9

Unit cell a=3.4677 b=3.4677 c=20.4349 alpha=90.00 beta=90.00 gamma=120.00
Space group R-3m (No. 166, hexagonal axes)
Symmetry-distinct sites (fractional):
Co  0.0000  0.0000  0.0000 [3 per cell]
Se  0.0000  0.0000  0.2744 [6 per cell]
Cl  0.0000  0.0000  0.5000 [3 per cell]